Version P
Ac4Tl2Pt PBE-GGA optimized geometry; calculated volume = 265 Å³/cell; density of states at the Fermi level = 7.09 states/eV per cell
1.0
4.271 0.000 0.000
0.000 7.175 -0.152
-2.136 -3.629 8.730
Ac Pt Tl
4 1 2
Direct
0.384 0.733 0.768 Ac
0.616 0.267 0.232 Ac
0.092 0.750 0.183 Ac
0.908 0.250 0.817 Ac
0.000 0.000 0.000 Pt
0.742 0.801 0.485 Tl
0.258 0.199 0.515 Tl

***

Version Q
Ac4Tl2Pt PBE-GGA optimized geometry; calculated volume = 256 Å³/cell; density of states at the Fermi level = 7.34 states/eV per cell
1.0
-1.999 4.386 1.060
-6.945 -0.333 -0.231
-2.616 -0.364 8.063
Ac Pt Tl
4 1 2
Direct
0.668 0.732 0.931 Ac
0.332 0.268 0.069 Ac
0.922 0.794 0.362 Ac
0.078 0.206 0.638 Ac
0.000 0.000 0.000 Pt
0.639 0.381 0.340 Tl
0.361 0.619 0.660 Tl

***

Least stable of them? version P.

***

Version P
Ac3TlPt PBE-GGA optimized geometry; calculated volume = 205 Å³/cell; density of states at the Fermi level = 8.51 states/eV per cell
1.0
5.899 0.000 0.000
0.000 5.899 0.000
0.000 0.000 5.899
Ac Pt Tl
3 1 1
Direct
0.000 0.000 0.500 Ac
0.000 0.500 0.000 Ac
0.500 0.000 0.000 Ac
0.000 0.000 0.000 Pt
0.500 0.500 0.500 Tl

***

Version Q
Ac3TlPt PBE-GGA optimized geometry; calculated volume = 744 Å³/cell; density of states at the Fermi level = 20.89 states/eV per cell
1.0
-2.519 -2.038 -2.950
-3.301 -6.549 7.343
-12.326 10.152 3.513
Pt Tl Ac
4 4 12
Direct
0.750 0.166 0.446 Pt
0.250 0.334 0.946 Pt
0.250 0.834 0.554 Pt
0.750 0.666 0.054 Pt
0.250 0.060 0.174 Tl
0.750 0.940 0.826 Tl
0.750 0.440 0.674 Tl
0.250 0.560 0.326 Tl
0.750 0.164 0.015 Ac
0.250 0.484 0.109 Ac
0.750 0.516 0.891 Ac
0.250 0.209 0.782 Ac
0.750 0.016 0.609 Ac
0.250 0.709 0.718 Ac
0.250 0.336 0.515 Ac
0.250 0.836 0.985 Ac
0.750 0.664 0.485 Ac
0.250 0.984 0.391 Ac
0.750 0.791 0.218 Ac
0.750 0.291 0.282 Ac

***

Least stable of them? version P.

***

Version P
Ac6TlPt2 PBE-GGA optimized geometry; calculated volume = 642 Å³/cell; density of states at the Fermi level = 17.05 states/eV per cell
1.0
-3.449 8.774 0.328
-6.551 -6.785 0.201
5.308 -1.542 7.644
Ac Pt Tl
12 4 2
Direct
0.803 0.768 0.572 Ac
0.528 0.705 0.823 Ac
0.472 0.295 0.177 Ac
0.197 0.232 0.428 Ac
0.118 0.295 0.823 Ac
0.882 0.705 0.177 Ac
0.688 0.020 0.332 Ac
0.803 0.232 0.035 Ac
0.688 0.356 0.668 Ac
0.197 0.768 0.965 Ac
0.312 0.644 0.332 Ac
0.312 0.980 0.668 Ac
0.659 0.000 0.659 Pt
0.341 0.000 0.341 Pt
0.500 0.631 0.131 Pt
0.500 0.369 0.869 Pt
0.000 0.000 0.000 Tl
0.000 0.500 0.500 Tl

***

Version Q
Ac6TlPt2 PBE-GGA optimized geometry; calculated volume = 354 Å³/cell; density of states at the Fermi level = 9.20 states/eV per cell
1.0
-0.356 -5.258 -2.686
3.648 -5.425 3.623
-6.808 -4.888 3.958
Ac Tl Pt
6 1 2
Direct
0.015 0.157 0.812 Ac
0.985 0.843 0.188 Ac
0.294 0.293 0.120 Ac
0.706 0.707 0.880 Ac
0.354 0.774 0.517 Ac
0.646 0.226 0.483 Ac
0.000 0.500 0.500 Tl
0.786 0.302 0.126 Pt
0.214 0.698 0.874 Pt

***

Least stable of them? version Q.